Record 1
DFT (GGA-PBE) results for a relaxed DyLu2Ru crystal.

Cell lengths 3.3769, 3.3769, 8.6891 Å; angles 90.00, 90.00, 90.00 degrees
Sites, in units of the cell vectors:
Dy 0.0000 0.0000 0.0000
Lu 0.5000 0.5000 0.3160
Lu 0.5000 0.5000 0.6840
Ru 0.0000 0.0000 0.5000

Magnetization: 0.000 μB/atom
Crystal system: tetragonal

---

Record 2
DFT (GGA-PBE) results for a relaxed Dy2LuRu crystal.

Cell lengths 3.4254, 3.4254, 8.7696 Å; angles 90.00, 90.00, 90.00 degrees
Sites, in units of the cell vectors:
Dy 0.0000 0.0000 0.1886
Dy 0.0000 0.0000 0.8114
Lu 0.5000 0.5000 0.5000
Ru 0.5000 0.5000 0.0000

Magnetization: 0.001 μB/atom
Crystal system: tetragonal

---

no.,ΔH_f (0 K) (eV/atom),energy above the most stable polymorph in this dataset (eV/atom),Fermi-level density of states (states/eV/f.u.)
1,-0.30,0.000,3.01
2,-0.18,0.000,4.72